A plane-wave DFT calculation with PBE-GGA was carried out for a relaxed structure of SrRuN3.

Cell: 4.2521 4.2521 4.2521 Å, 90.00 90.00 90.00°
Positions (direct):
Sr1 0.0000 0.0000 0.0000
Ru1 0.5000 0.5000 0.5000
N1 0.0000 0.0000 0.5000
N2 0.0000 0.5000 0.0000
N3 0.5000 0.0000 0.0000

Calculated values
Raw total energy: -4.16 eV per atom

***

A plane-wave DFT calculation with PBE-GGA was carried out for a relaxed structure of SrTe2RuN.

Cell: 5.6925 5.6925 3.7273 Å, 90.00 90.00 90.00°
Positions (direct):
Sr1 0.0000 0.0000 0.0000
Te1 0.0000 0.5000 0.5000
Te2 0.5000 0.0000 0.5000
Ru1 0.5000 0.5000 0.5000
N1 0.5000 0.5000 0.0000

Calculated values
Raw total energy: -5.46 eV per atom
E above lowest polymorph: 0.000 eV per atom

***

A plane-wave DFT calculation with PBE-GGA was carried out for a relaxed structure of SrTe2RuN.

Cell: 6.1473 6.1473 4.6979 Å, 90.00 90.00 90.00°
Positions (direct):
Sr1 0.0000 0.0000 0.0000
Te1 0.0000 0.5000 0.0000
Te2 0.5000 0.0000 0.0000
Ru1 0.5000 0.5000 0.5000
N1 0.0000 0.0000 0.5000

Calculated values
Raw total energy: -3.57 eV per atom
E above lowest polymorph: 1.895 eV per atom

***

A plane-wave DFT calculation with PBE-GGA was carried out for a relaxed structure of SrTeRuN2.

Cell: 4.1159 4.1159 5.5978 Å, 90.00 90.00 90.00°
Positions (direct):
Sr1 0.0000 0.0000 0.0000
Te1 0.5000 0.5000 0.0000
Ru1 0.5000 0.5000 0.5000
N1 0.0000 0.5000 0.5000
N2 0.5000 0.0000 0.5000

Calculated values
Raw total energy: -5.75 eV per atom
E above lowest polymorph: 0.000 eV per atom

***

A plane-wave DFT calculation with PBE-GGA was carried out for a relaxed structure of SrTeRuN2.

Cell: 4.6850 4.6850 6.7519 Å, 90.00 90.00 90.00°
Positions (direct):
Sr1 0.0000 0.0000 0.0000
Te1 0.0000 0.0000 0.5000
Ru1 0.5000 0.5000 0.5000
N1 0.0000 0.5000 0.0000
N2 0.5000 0.0000 0.0000

Calculated values
Raw total energy: -4.13 eV per atom
E above lowest polymorph: 1.624 eV per atom

***

A plane-wave DFT calculation with PBE-GGA was carried out for a relaxed structure of Sr2TlRuN.

Cell: 5.5323 5.5323 3.8571 Å, 90.00 90.00 90.00°
Positions (direct):
Sr1 0.0000 0.5000 0.0000
Sr2 0.5000 0.0000 0.0000
Tl1 0.0000 0.0000 0.5000
Ru1 0.5000 0.5000 0.5000
N1 0.5000 0.5000 0.0000

Calculated values
Raw total energy: -5.04 eV per atom

***

A plane-wave DFT calculation with PBE-GGA was carried out for a relaxed structure of SrURuN3.

Cell: 6.7999 3.5777 8.4508 Å, 90.00 101.78 90.00°
Positions (direct):
Sr1 0.2031 0.2500 0.2343
Sr2 0.7969 0.7500 0.7657
U1 0.3494 0.2500 0.8386
U2 0.6506 0.7500 0.1614
Ru1 0.1311 0.7500 0.5666
Ru2 0.8689 0.2500 0.4334
N1 0.0476 0.2500 0.6634
N2 0.3298 0.7500 0.0194
N3 0.4138 0.7500 0.7115
N4 0.5862 0.2500 0.2885
N5 0.6702 0.2500 0.9806
N6 0.9524 0.7500 0.3366

Calculated values
Raw total energy: -8.60 eV per atom

***

A plane-wave DFT calculation with PBE-GGA was carried out for a relaxed structure of Sr3U3RuN8.

Cell: 7.1105 7.1105 7.1105 Å, 57.59 57.59 57.59°
Positions (direct):
Sr1 0.0000 0.5000 0.5000
Sr2 0.5000 0.0000 0.5000
Sr3 0.5000 0.5000 0.0000
U1 0.0000 0.0000 0.5000
U2 0.0000 0.5000 0.0000
U3 0.5000 0.0000 0.0000
Ru1 0.5000 0.5000 0.5000
N1 0.2198 0.7318 0.7318
N2 0.2344 0.2344 0.2344
N3 0.2682 0.2682 0.7802
N4 0.2682 0.7802 0.2682
N5 0.7318 0.2198 0.7318
N6 0.7318 0.7318 0.2198
N7 0.7656 0.7656 0.7656
N8 0.7802 0.2682 0.2682

Calculated values
Raw total energy: -8.58 eV per atom